Density functional theory data (PBE with a Hubbard U) for an optimized crystal structure of Mn2Si2O7.

Results
- DFT total energy: -168.60 eV for the cell shown
- Density: 3318 kg/m3
- Symmetry: No. 63

Structure (POSCAR):
```
Mn2Si2O7
1.0
2.6633 -4.1782 0.0000
2.6633 4.1782 0.0000
0.0000 0.0000 12.5061
Mn Si O
4 4 14
direct
0.0000 0.0000 0.0000
0.0000 0.0000 0.5000
0.0317 0.9683 0.7500
0.9683 0.0317 0.2500
0.3376 0.6624 0.1327
0.3376 0.6624 0.3673
0.6624 0.3376 0.6327
0.6624 0.3376 0.8673
0.1968 0.2938 0.1354
0.1968 0.2938 0.3646
0.2164 0.7836 0.0349
0.2164 0.7836 0.4651
0.2375 0.7625 0.2500
0.2938 0.1968 0.6354
0.2938 0.1968 0.8646
0.7062 0.8032 0.1354
0.7062 0.8032 0.3646
0.7625 0.2375 0.7500
0.7836 0.2164 0.5349
0.7836 0.2164 0.9651
0.8032 0.7062 0.6354
0.8032 0.7062 0.8646
```